(1)
! VInPdPt, optimized geometry, DFT PBE; values from VASP
! Energy of formation from the pure elements in eV/atom: -0.30
! Crystal system: cubic
&SYSTEM
  ibrav = 0, nat = 4, ntyp = 4
/
ATOMIC_SPECIES
V 50.94 V.upf
In 114.82 In.upf
Pd 106.42 Pd.upf
Pt 195.08 Pt.upf
CELL_PARAMETERS angstrom
0.000 3.210 3.210
3.210 0.000 3.210
3.210 3.210 0.000
ATOMIC_POSITIONS angstrom
V 0.000 0.000 0.000
In 3.210 3.210 3.210
Pd 1.605 1.605 1.605
Pt 4.815 4.815 4.815

=====

(2)
! TcSe2I, optimized geometry, DFT PBE; values from VASP
! Crystal system: tetragonal
! Energy above the lowest structure with this stoichiometry in eV/f.u.: 1.34
! E_form (uncorrected) in eV per atom: 0.127
&SYSTEM
  ibrav = 0, nat = 8, ntyp = 3
/
ATOMIC_SPECIES
Tc 98.00 Tc.upf
Se 78.96 Se.upf
I 126.90 I.upf
CELL_PARAMETERS angstrom
-3.484 3.484 5.008
3.484 -3.484 5.008
3.484 3.484 -5.008
ATOMIC_POSITIONS angstrom
Tc 0.000 0.000 0.000
Tc 0.000 3.484 2.504
Se 5.225 0.959 -1.252
Se 0.959 1.742 1.252
Se -1.742 2.525 3.756
Se 2.525 1.742 6.260
I 3.484 0.000 2.504
I 0.000 0.000 5.008

=====

(3)
! La3TbSm4, optimized geometry, DFT PBE; values from VASP
! Energy of formation from the pure elements in eV/atom: 0.12
! Crystal system: orthorhombic
! Energy above the lowest structure with this stoichiometry in eV/f.u.: 0.64
&SYSTEM
  ibrav = 0, nat = 8, ntyp = 3
/
ATOMIC_SPECIES
La 138.91 La.upf
Tb 158.93 Tb.upf
Sm 150.36 Sm.upf
CELL_PARAMETERS angstrom
-1.773 5.978 6.644
1.773 -5.978 6.644
1.773 5.978 -6.644
ATOMIC_POSITIONS angstrom
La 0.000 0.000 0.000
La 1.773 0.000 3.428
La 0.000 5.978 3.216
Tb 0.000 0.000 6.644
Sm 1.773 3.032 -1.774
Sm 1.773 3.032 1.774
Sm 0.000 2.946 4.870
Sm 0.000 2.946 8.418

=====

(4)
! Tb7YTm3, optimized geometry, DFT PBE; values from VASP
! Energy of formation from the pure elements in eV/atom: 0.26
! Crystal system: monoclinic
! Energy above the lowest structure with this stoichiometry in eV/f.u.: 1.37
&SYSTEM
  ibrav = 0, nat = 11, ntyp = 3
/
ATOMIC_SPECIES
Tb 158.93 Tb.upf
Y 88.91 Y.upf
Tm 168.93 Tm.upf
CELL_PARAMETERS angstrom
6.281 -5.558 0.000
6.281 5.558 0.000
-2.643 0.000 5.129
ATOMIC_POSITIONS angstrom
Tb 0.000 0.000 0.000
Tb 3.002 2.266 1.553
Tb 1.582 0.000 4.074
Tb 6.917 2.266 3.575
Tb 3.002 -2.266 1.553
Tb 8.337 0.000 1.055
Tb 6.917 -2.266 3.575
Y -1.321 0.000 2.564
Tm 6.281 2.281 0.000
Tm 4.959 0.000 2.564
Tm 6.281 -2.281 0.000

=====

(5)
! CaTb4Pm8, optimized geometry, DFT PBE; values from VASP
! Energy of formation from the pure elements in eV/atom: 0.04
! Crystal system: monoclinic
&SYSTEM
  ibrav = 0, nat = 13, ntyp = 3
/
ATOMIC_SPECIES
Ca 40.08 Ca.upf
Tb 158.93 Tb.upf
Pm 145.00 Pm.upf
CELL_PARAMETERS angstrom
5.747 -2.575 0.000
5.747 2.575 0.000
-1.121 0.000 14.940
ATOMIC_POSITIONS angstrom
Ca 0.000 0.000 0.000
Tb 1.148 0.000 8.032
Tb 3.417 0.000 12.558
Tb 6.955 0.000 2.382
Tb 9.224 0.000 6.908
Pm 0.021 0.000 11.441
Pm 2.336 0.000 4.624
Pm 3.431 0.000 1.204
Pm 4.606 0.000 9.177
Pm 5.767 0.000 5.762
Pm 6.941 0.000 13.736
Pm 8.036 0.000 10.316
Pm 10.351 0.000 3.499

=====

(6)
! NdTm3Te4, optimized geometry, DFT PBE; values from VASP
! Crystal system: orthorhombic
! E_form (uncorrected) in eV per atom: -1.228
&SYSTEM
  ibrav = 0, nat = 8, ntyp = 3
/
ATOMIC_SPECIES
Nd 144.24 Nd.upf
Tm 168.93 Tm.upf
Te 127.60 Te.upf
CELL_PARAMETERS angstrom
4.444 -6.157 0.000
4.444 6.157 0.000
0.000 0.000 4.262
ATOMIC_POSITIONS angstrom
Nd 0.000 0.000 0.000
Tm 2.222 3.079 2.131
Tm 2.222 -3.079 2.131
Tm 4.444 0.000 0.000
Te 4.444 3.011 0.000
Te 2.319 0.000 2.131
Te 6.568 0.000 2.131
Te 4.444 -3.011 0.000

=====

(7)
! Th2CoHg3, optimized geometry, DFT PBE; values from VASP
! Energy of formation from the pure elements in eV/atom: -0.19
! Crystal system: orthorhombic
&SYSTEM
  ibrav = 0, nat = 6, ntyp = 3
/
ATOMIC_SPECIES
Th 232.04 Th.upf
Co 58.93 Co.upf
Hg 200.59 Hg.upf
CELL_PARAMETERS angstrom
3.569 0.000 0.000
0.000 4.955 0.000
0.000 0.000 8.266
ATOMIC_POSITIONS angstrom
Th 0.000 0.000 0.000
Th 0.000 2.478 3.516
Co 1.784 0.000 2.046
Hg 1.784 0.000 4.842
Hg 1.784 2.478 0.962
Hg 1.784 2.478 6.375

=====

(8)
! RbHf2Ta, optimized geometry, DFT PBE; values from VASP
! Energy of formation from the pure elements in eV/atom: 1.32
! Crystal system: cubic
! Energy above the lowest structure with this stoichiometry in eV/f.u.: 0.00
&SYSTEM
  ibrav = 0, nat = 4, ntyp = 3
/
ATOMIC_SPECIES
Rb 85.47 Rb.upf
Hf 178.49 Hf.upf
Ta 180.95 Ta.upf
CELL_PARAMETERS angstrom
0.000 3.613 3.613
3.613 0.000 3.613
3.613 3.613 0.000
ATOMIC_POSITIONS angstrom
Rb 0.000 0.000 0.000
Hf 1.807 1.807 1.807
Hf 5.420 5.420 5.420
Ta 3.613 3.613 3.613

=====

no.,V (Å³ per cell),ρ (Mg/m³)
1,66.2,11.73
2,243.1,5.23
3,281.6,6.94
4,358.1,7.92
5,442.2,6.89
6,233.2,8.27
7,146.2,12.78
8,94.3,10.97